<i>
Pr3DyHg2, optimized geometry, DFT GGA-PBE; size of the total moment = 0.00 μB/f.u.; Fermi-level density of states = 1.490 states/eV/atom; crystal system = orthorhombic
1.0
-4.946 2.923 -4.610
0.137 -6.384 -4.195
-3.158 -1.122 8.563
Pr Dy Hg
6 2 4
Cartesian
-5.471 -1.689 -1.086
-2.371 -3.327 -5.451
-2.497 -2.894 0.844
-5.539 1.503 1.011
-2.428 -6.086 -1.254
-2.439 -0.135 -3.354
0.000 0.000 0.000
0.068 -3.192 -2.098
-5.056 -1.476 2.081
-5.004 1.280 -2.112
-2.964 -5.864 1.869
-2.912 -3.108 -2.324

=====

<ii>
Pr3DyHg2, optimized geometry, DFT GGA-PBE; size of the total moment = 0.00 μB/f.u.; Fermi-level density of states = 0.633 states/eV/atom; crystal system = orthorhombic
1.0
5.329 0.000 0.000
0.000 7.089 0.000
0.000 0.000 9.680
Hg Dy Pr
4 2 6
Cartesian
0.000 1.953 6.279
0.000 5.497 3.401
2.665 1.605 1.486
2.665 5.150 8.194
2.665 0.099 4.331
2.665 3.643 5.349
0.000 3.454 9.172
0.000 6.998 0.508
0.000 5.815 6.479
2.665 4.797 1.715
0.000 2.270 3.201
2.665 1.253 7.965

=====

Which is most stable, and by how much? <ii>, by 24.2 kJ/mol of atoms.

=====

<i>
Pr2DyHg2, optimized geometry, DFT GGA-PBE; size of the total moment = 0.00 μB/f.u.; Fermi-level density of states = 1.213 states/eV/atom; crystal system = orthorhombic
1.0
4.109 0.000 0.000
2.055 6.262 0.138
2.055 1.810 5.996
Pr Hg Dy
2 2 1
Cartesian
2.055 2.350 1.786
6.164 5.722 4.349
4.109 4.950 1.865
4.109 3.122 4.270
0.000 0.000 0.000

=====

<ii>
Pr2DyHg2, optimized geometry, DFT GGA-PBE; size of the total moment = 0.37 μB/f.u.; Fermi-level density of states = 1.096 states/eV/atom; crystal system = monoclinic
1.0
3.764 0.000 -0.503
0.000 5.394 0.000
0.009 0.000 14.343
Hg Pr Dy
4 4 2
Cartesian
2.101 1.349 1.343
1.362 1.349 10.141
2.411 4.046 3.699
1.672 4.046 12.497
0.879 4.046 6.585
0.173 4.046 1.248
3.600 1.349 12.592
2.894 1.349 7.255
3.214 4.046 9.715
0.558 1.349 4.125

=====

Which is most stable, and by how much? <ii>, by 6.7 kJ/mol of atoms.

=====

<i>
PrDyHg, optimized geometry, DFT GGA-PBE; size of the total moment = 0.00 μB/f.u.; Fermi-level density of states = 0.747 states/eV/atom; crystal system = orthorhombic
1.0
-0.321 4.969 1.203
-8.330 -1.507 4.002
3.379 -1.361 6.521
Dy Pr Hg
4 4 4
Cartesian
-2.483 0.139 4.217
-2.789 1.963 7.509
-7.411 2.113 5.657
2.139 -0.011 6.069
-0.064 2.743 5.012
-5.208 -0.642 6.714
-2.791 3.236 2.251
-2.481 -1.134 9.475
-5.147 1.353 9.397
-4.426 2.470 4.978
-0.846 -0.368 6.748
-0.125 0.748 2.329

=====

<ii>
PrDyHg, optimized geometry, DFT GGA-PBE; size of the total moment = 0.56 μB/f.u.; Fermi-level density of states = 1.201 states/eV/atom; crystal system = tetragonal
1.0
3.712 0.000 0.000
0.000 3.712 0.000
-1.856 -1.856 6.452
Hg Dy Pr
1 1 1
Cartesian
1.856 1.856 2.280
0.000 0.000 4.063
0.000 0.000 0.108

=====

<iii>
PrDyHg, optimized geometry, DFT GGA-PBE; size of the total moment = 0.00 μB/f.u.; Fermi-level density of states = 1.225 states/eV/atom; crystal system = hexagonal
1.0
-0.957 2.968 -2.391
-4.278 0.871 2.795
4.426 2.408 1.217
Hg Pr Dy
1 1 1
Cartesian
1.365 2.392 1.344
-2.015 3.362 0.675
-0.159 0.494 -0.398

=====

Which is most stable, and by how much? <i>, by 2.7 kJ/mol of atoms.

=====

<i>
PrDy2Hg6, optimized geometry, DFT GGA-PBE; size of the total moment = 0.00 μB/f.u.; Fermi-level density of states = 0.631 states/eV/atom; crystal system = tetragonal
1.0
-3.846 -1.743 1.735
1.913 -4.144 0.078
5.313 5.175 10.971
Pr Dy Hg
1 2 6
Cartesian
0.000 0.000 0.000
2.878 1.478 7.865
0.502 -2.190 4.919
-1.156 -0.478 2.962
3.130 -0.956 5.978
0.250 0.244 6.806
1.657 0.966 10.650
4.537 -0.234 9.822
1.723 -1.678 2.134

=====

<ii>
PrDy2Hg6, optimized geometry, DFT GGA-PBE; size of the total moment = 0.27 μB/f.u.; Fermi-level density of states = 0.718 states/eV/atom; crystal system = hexagonal
1.0
-2.693 1.556 1.521
-3.064 -7.711 2.465
5.425 4.350 5.154
Hg Dy Pr
6 2 1
Cartesian
0.222 -1.453 5.820
-0.553 -0.351 3.320
-2.376 -1.812 1.589
0.476 2.240 2.492
2.044 0.008 7.551
2.256 3.667 4.183
-2.927 -2.134 4.882
2.595 0.330 4.258
5.425 4.350 5.154

=====

Which is most stable, and by how much? <ii>, by 21.5 kJ/mol of atoms.